Record 1
LaPmNdPb: relaxed, GGA-PBE.

Computed properties:
space group: No. 119
total DFT energy (no corrections): -4.8496 eV/atom
energy of formation from the pure elements: -311 meV/atom
distance to the lowest polymorph of the same formula: 0.0 meV/atom

Cell lengths 6.260, 6.260, 6.260 Å; angles 133.43, 133.43, 67.98 degrees
Sites, in units of the cell vectors:
La 0.000 0.000 0.000
Pm 0.250 0.750 0.500
Nd 0.750 0.250 0.500
Pb 0.500 0.500 0.000

Record 2
Er4Tc: relaxed, GGA-PBE.

Computed properties:
space group: No. 221
total DFT energy (no corrections): -5.5780 eV/atom
energy of formation from the pure elements: 145 meV/atom
distance to the lowest polymorph of the same formula: 113.8 meV/atom

Cell lengths 5.332, 5.332, 5.332 Å; angles 90.00, 90.00, 90.00 degrees
Sites, in units of the cell vectors:
Er 0.000 0.000 0.000
Er 0.000 0.500 0.500
Er 0.500 0.000 0.500
Er 0.500 0.500 0.000
Tc 0.500 0.500 0.500

Record 3
GeSb2TeO: relaxed, GGA-PBE.

Computed properties:
space group: No. 123
total DFT energy (no corrections): -4.0735 eV/atom
distance to the lowest polymorph of the same formula: 0.0 meV/atom

Cell lengths 4.720, 4.720, 5.009 Å; angles 90.00, 90.00, 90.00 degrees
Sites, in units of the cell vectors:
Ge 0.000 0.000 0.000
Sb 0.000 0.500 0.500
Sb 0.500 0.000 0.500
Te 0.500 0.500 0.000
O 0.500 0.500 0.500

Record 4
KNbFeSe3: relaxed, GGA-PBE.

Computed properties:
space group: No. 11
total DFT energy (no corrections): -5.8472 eV/atom

Cell lengths 8.831, 3.639, 9.854 Å; angles 90.00, 116.12, 90.00 degrees
Sites, in units of the cell vectors:
K 0.246 0.250 0.255
K 0.754 0.750 0.745
Nb 0.293 0.750 0.820
Nb 0.707 0.250 0.180
Fe 0.084 0.250 0.604
Fe 0.916 0.750 0.396
Se 0.101 0.250 0.855
Se 0.228 0.750 0.537
Se 0.463 0.750 0.131
Se 0.537 0.250 0.869
Se 0.772 0.250 0.463
Se 0.899 0.750 0.145

Record 5
AcHo2ErS6: relaxed, GGA-PBE.

Computed properties:
space group: No. 146
total DFT energy (no corrections): -6.3339 eV/atom

Cell lengths 7.400, 7.400, 7.400 Å; angles 56.84, 56.84, 56.84 degrees
Sites, in units of the cell vectors:
Ac 0.000 0.000 0.000
Ho 0.281 0.281 0.281
Ho 0.789 0.789 0.789
Er 0.484 0.484 0.484
S 0.075 0.643 0.430
S 0.188 0.571 0.887
S 0.430 0.075 0.643
S 0.571 0.887 0.188
S 0.643 0.430 0.075
S 0.887 0.188 0.571

Record 6
SrNb3Ru: relaxed, GGA-PBE.

Computed properties:
space group: No. 221
total DFT energy (no corrections): -7.4028 eV/atom
energy of formation from the pure elements: 831 meV/atom
distance to the lowest polymorph of the same formula: 0.0 meV/atom

Cell lengths 4.958, 4.958, 4.958 Å; angles 90.00, 90.00, 90.00 degrees
Sites, in units of the cell vectors:
Sr 0.000 0.000 0.000
Nb 0.000 0.500 0.500
Nb 0.500 0.000 0.500
Nb 0.500 0.500 0.000
Ru 0.500 0.500 0.500

The lowest total DFT energy (no corrections) belongs to which entry? SrNb3Ru